[1]
Material: LiPrHoTm
Method: DFT, PBE-GGA
State: relaxed

Output
Uncorrected energy (eV/f.u.): -15.1
SG: F-43m, No. 216

Cell lengths 5.516, 5.516, 5.516 Å; angles 60.00, 60.00, 60.00 degrees
Sites, in units of the cell vectors:
Li: 0.000 0.000 0.000
Pr: 0.250 0.250 0.250
Ho: 0.750 0.750 0.750
Tm: 0.500 0.500 0.500

[2]
Material: HfNpTiAl
Method: DFT, PBE-GGA
State: relaxed

Output
Uncorrected energy (eV/f.u.): -33.9
SG: F-43m, No. 216

Cell lengths 4.798, 4.798, 4.798 Å; angles 60.00, 60.00, 60.00 degrees
Sites, in units of the cell vectors:
Hf: 0.000 0.000 0.000
Np: 0.250 0.250 0.250
Ti: 0.500 0.500 0.500
Al: 0.750 0.750 0.750

- Which of these has the highest uncorrected energy?
  LiPrHoTm